No. 1
Entry from Alexandria: Pm4Co3Ge after structural relaxation (PBE).

Cell lengths 4.200, 4.095, 10.441 Å; angles 90.00, 90.00, 90.00 degrees
Last column: magnetic moment on the atom in μB.
Fractional positions:
Ge1 0.500 0.500 0.063  0.00
Co1 0.000 0.500 0.551  0.81
Co2 0.000 0.000 0.454  0.88
Co3 0.500 0.000 0.928  -0.01
Pm1 0.500 0.500 0.363  -0.13
Pm2 0.000 0.500 0.853  -0.03
Pm3 0.000 0.000 0.140  -0.04
Pm4 0.500 0.000 0.647  -0.10

Properties
formation enthalpy at 0 K	-0.2808	eV per atom
mass density	7.67	g cm⁻³
volume	179.6	Å³/cell
density of states at the Fermi level	7.9	states/eV/cell

---

No. 2
Entry from Alexandria: AcLa6YTm2 after structural relaxation (PBE).

Cell lengths 9.933, 9.101, 9.101 Å; angles 117.35, 93.72, 93.72 degrees
Fractional positions:
Ac1 0.250 0.971 0.029
Ac2 0.750 0.029 0.971
La1 0.052 0.113 0.756
La2 0.448 0.244 0.887
La3 0.948 0.887 0.244
La4 0.552 0.756 0.113
La5 0.315 0.995 0.449
La6 0.185 0.551 0.005
La7 0.685 0.005 0.551
La8 0.815 0.449 0.995
La9 0.122 0.705 0.488
La10 0.378 0.512 0.295
La11 0.878 0.295 0.512
La12 0.622 0.488 0.705
Y1 0.250 0.411 0.589
Y2 0.750 0.589 0.411
Tm1 0.453 0.795 0.695
Tm2 0.047 0.305 0.205
Tm3 0.547 0.205 0.305
Tm4 0.953 0.695 0.795

Properties
formation enthalpy at 0 K	0.1072	eV per atom
mass density	6.81	g cm⁻³
volume	725.0	Å³/cell
density of states at the Fermi level	30.7	states/eV/cell

---

No. 3
Entry from Alexandria: GaFe3H after structural relaxation (PBE).

Cell lengths 4.626, 5.144, 5.218 Å; angles 119.84, 72.69, 89.58 degrees
Last column: magnetic moment on the atom in μB.
Fractional positions:
H1 0.323 0.584 0.811  -0.02
H2 0.856 0.353 0.346  -0.02
Fe1 0.058 0.458 0.057  2.18
Fe2 0.574 0.197 0.556  2.18
Fe3 0.567 0.711 0.064  2.37
Fe4 0.060 0.958 0.057  2.18
Fe5 0.078 0.465 0.573  2.11
Fe6 0.572 0.715 0.558  2.16
Ga1 0.540 0.212 0.065  -0.13
Ga2 0.078 0.953 0.549  -0.12

Properties
mass density	7.83	g cm⁻³
volume	101.0	Å³/cell
density of states at the Fermi level	7.5	states/eV/cell

---

No. 4
Entry from Alexandria: ZrP2Br after structural relaxation (PBE).

Cell lengths 5.552, 4.859, 3.738 Å; angles 80.55, 67.30, 115.02 degrees
Fractional positions:
Br1 0.500 0.500 0.000
P1 0.000 0.000 0.000
P2 0.500 0.000 0.500
Zr1 0.000 0.500 0.500

Properties
uncorrected formation energy	0.04	eV/atom
mass density	4.99	g cm⁻³
ΔE to the lowest computed polymorph	0.763	eV per atom
volume	77.6	Å³/cell
density of states at the Fermi level	2.5	states/eV/cell

---

Energy (eV per atom)
-5.898; -4.801; -6.406; -5.220